(1)
The following is a PBE-GGA calculation of an optimized crystal structure of Cr2SbW, from the Alexandria database.

Cell: 5.5417 8.3760 2.8630 Å, 90.00 111.65 90.00°
Space group C2/m (No. 12)
One atom of each set of equivalent atoms:
Cr 0.2500 0.2500 0.0000
Sb 0.0000 0.0000 0.5000
W 0.0000 0.5000 0.5000

***

(2)
The following is a PBE-GGA calculation of an optimized crystal structure of CrSbW2, from the Alexandria database.

Cell: 2.9477 4.4129 5.2560 Å, 90.00 104.65 90.00°
Space group Pm (No. 6)
One atom of each set of equivalent atoms:
Cr 0.0000 0.0000 0.0000
Sb 0.9640 0.5000 0.2676
W 0.2943 0.5000 0.7960
W 0.5291 0.0000 0.5449

***

(3)
The following is a PBE-GGA calculation of an optimized crystal structure of CrSbW2, from the Alexandria database.

Cell: 3.0701 3.9901 5.5338 Å, 90.00 90.00 90.00°
Space group Pmm2 (No. 25)
One atom of each set of equivalent atoms:
Cr 0.0000 0.0000 0.0000
Sb 0.5000 0.5000 0.2820
W 0.0000 0.0000 0.5805
W 0.5000 0.5000 0.7921

***

Formation energy from raw total energies, record by record: 0.616, 0.543, 0.513 eV/atom